{
  "formula": "V2O3F3",
  "functional": "PBE with a Hubbard U",
  "state": "optimized geometry",
  "lattice_angstrom": [[4.806, 0.000, 0.000], [1.138, 4.681, 0.000], [1.093, 1.719, 4.848]],
  "species": ["V", "V", "O", "O", "O", "F", "F", "F"],
  "fractional_positions": [[0.000, 0.000, 0.000], [0.434, 0.514, 0.998], [0.155, 0.707, 0.257], [0.204, 0.291, 0.999], [0.225, 0.898, 0.741], [0.676, 0.192, 0.251], [0.695, 0.792, 0.000], [0.745, 0.379, 0.746]],
  "de_polymorph_ev_per_atom": 0.063,
  "density_g_cm3": 3.2,
  "m_tot_mub_per_fu": 1.00,
  "total_energy_ev_per_atom": -6.59,
  "spacegroup": "P1 (1)"
}